PBE-GGA CePm2Ag, optimized geometry; Fermi-level density of states = 1.59 states/eV per atom; total energy = -17.20 eV/f.u.; polymorph energy (0 for the lowest one) = 348 meV per atom; theoretical density = 7.4 Mg/m³
1.0
3.4432 0.0000 0.0000
1.7216 2.9819 0.0000
1.7216 0.9940 11.7012
Pm Ag Ce
2 1 1
Direct
0.0863 0.0863 0.7411
0.9137 0.9137 0.2589
0.0000 0.0000 0.0000
0.5000 0.5000 0.5000

PBE-GGA Dy3Tl4In, optimized geometry; Fermi-level density of states = 0.95 states/eV per atom; total energy = -27.44 eV/f.u.; theoretical density = 10.4 Mg/m³
1.0
3.5014 0.0000 0.0000
0.0000 9.8966 0.0000
-1.7507 -4.9483 6.5485
Tl In Dy
4 1 3
Direct
0.6290 0.8639 0.2579
0.6290 0.3940 0.2579
0.3710 0.1361 0.7421
0.3710 0.6060 0.7421
0.5000 0.0000 0.0000
0.7882 0.7882 0.5763
0.0000 0.5000 0.0000
0.2118 0.2118 0.4237

PBE-GGA BaScSb2I, optimized geometry; Fermi-level density of states = 1.26 states/eV per atom; total energy = -15.24 eV/f.u.; polymorph energy (0 for the lowest one) = 1348 meV per atom; theoretical density = 3.8 Mg/m³; formation energy from raw total energies = 0.56 eV per atom
1.0
-3.4185 0.6952 -5.1479
-3.3449 -5.0096 1.5447
-4.0298 3.6687 3.1714
Sc I Sb Ba
1 1 2 1
Direct
0.5000 0.5000 0.5000
0.0000 0.0000 0.5000
0.5000 0.0000 0.0000
0.0000 0.5000 0.0000
0.0000 0.0000 0.0000

PBE-GGA ZnMo2Os, optimized geometry; Fermi-level density of states = 0.72 states/eV per atom; total energy = -33.44 eV/f.u.; theoretical density = 12.2 Mg/m³
1.0
2.7975 0.0000 0.0000
0.0000 2.7975 0.0000
0.0000 0.0000 7.7693
Os Zn Mo
1 1 2
Direct
0.0000 0.0000 0.4998
0.5000 0.5000 0.7380
0.5000 0.5000 0.2713
0.0000 0.0000 0.9909

PBE-GGA V3CoSi, optimized geometry; Fermi-level density of states = 1.21 states/eV per atom; total energy = -34.97 eV/f.u.; polymorph energy (0 for the lowest one) = 922 meV per atom; theoretical density = 4.9 Mg/m³; formation energy from raw total energies = 0.98 eV per atom
1.0
-2.2462 -2.5616 -2.6887
3.4605 -2.5840 -0.4291
-1.3476 -2.3658 3.3798
V Si Co
3 1 1
Direct
0.5000 0.0000 0.0000
0.0000 0.0000 0.5000
0.0000 0.5000 0.0000
0.0000 0.0000 0.0000
0.5000 0.5000 0.5000

PBE-GGA Cu3PPt, optimized geometry; Fermi-level density of states = 1.81 states/eV per atom; total energy = -18.14 eV/f.u.; polymorph energy (0 for the lowest one) = 814 meV per atom; theoretical density = 6.9 Mg/m³
1.0
-2.4182 3.2195 -2.3330
-3.9700 -2.1034 1.2124
-0.2157 2.6203 3.8397
Cu Pt P
3 1 1
Direct
0.5000 0.0000 0.0000
0.0000 0.5000 0.0000
0.0000 0.0000 0.5000
0.0000 0.0000 0.0000
0.5000 0.5000 0.5000

PBE-GGA BaReN3, optimized geometry; Fermi-level density of states = 0.00 states/eV per atom; total energy = -40.37 eV/f.u.; theoretical density = 7.0 Mg/m³; formation energy from raw total energies = -0.21 eV per atom
1.0
-2.6916 -2.6780 -4.4149
5.8206 -0.6157 -3.3696
2.0266 -4.1950 0.9216
Ba N Re
2 6 2
Direct
0.6119 0.7610 0.7033
0.1119 0.4012 0.3833
0.4747 0.9514 0.1070
0.6153 0.2540 0.4130
0.1000 0.8084 0.8748
0.9747 0.2109 0.9773
0.6000 0.3538 0.6023
0.1153 0.9081 0.5858
0.1498 0.9589 0.1758
0.6498 0.2033 0.0537

PBE-GGA Tb2CeTl3Te6, optimized geometry; Fermi-level density of states = 0.68 states/eV per atom; total energy = -53.60 eV/f.u.; theoretical density = 7.0 Mg/m³; formation energy from raw total energies = -1.04 eV per atom
1.0
-2.1786 -2.2945 7.1439
-0.0549 -5.0937 -5.9243
8.4812 0.4043 1.2917
Tb Te Tl Ce
2 6 3 1
Direct
0.3331 0.6669 0.0000
0.6669 0.3331 0.0000
0.9278 0.5873 0.7837
0.2690 0.2690 0.7852
0.5873 0.9278 0.7837
0.4127 0.0722 0.2163
0.7310 0.7310 0.2148
0.0722 0.4127 0.2163
0.5000 0.5000 0.5000
0.1653 0.8347 0.5000
0.8347 0.1653 0.5000
0.0000 0.0000 0.0000